No. 1
{
  "formula": "Rb2TaIr3O12",
  "functional": "PBE",
  "state": "relaxed",
  "lattice_angstrom": [[-3.391, 2.766, -5.906], [-5.865, -3.329, -2.923], [-6.704, 2.971, 0.509]],
  "species": ["O", "O", "O", "O", "O", "O", "O", "O", "O", "O", "O", "O", "Ta", "Ir", "Ir", "Ir", "Rb", "Rb"],
  "frac_coords": [[0.076, 0.684, 0.684], [0.069, 0.676, 0.069], [0.931, 0.931, 0.324], [0.684, 0.684, 0.076], [0.676, 0.069, 0.069], [0.316, 0.924, 0.316], [0.316, 0.316, 0.924], [0.069, 0.069, 0.676], [0.931, 0.324, 0.931], [0.924, 0.316, 0.316], [0.684, 0.076, 0.684], [0.324, 0.931, 0.931], [0.000, 0.000, 0.000], [0.500, 0.000, 0.000], [0.000, 0.500, 0.000], [0.000, 0.000, 0.500], [0.376, 0.376, 0.376], [0.624, 0.624, 0.624]],
  "magnetic_moment_mub_per_fu": 2.49,
  "vol_a3_per_cell": 273,
  "final_energy_ev_per_atom": -6.839,
  "e_form_raw_ev_per_atom": -1.291,
  "n_ef_per_ev_fu": 16.0,
  "sg": "R-3m, No. 166"
}

No. 2
{
  "formula": "Tb2PmErMg",
  "functional": "PBE",
  "state": "relaxed",
  "lattice_angstrom": [[5.601, 0.000, 0.000], [0.000, 6.049, 1.086], [0.000, 1.496, 9.303]],
  "species": ["Tb", "Tb", "Tb", "Tb", "Mg", "Mg", "Pm", "Pm", "Er", "Er"],
  "frac_coords": [[0.750, 0.751, 0.799], [0.750, 0.981, 0.395], [0.250, 0.249, 0.201], [0.250, 0.019, 0.605], [0.750, 0.577, 0.193], [0.250, 0.423, 0.807], [0.750, 0.352, 0.611], [0.250, 0.648, 0.389], [0.250, 0.836, 0.002], [0.750, 0.164, 0.998]],
  "magnetic_moment_mub_per_fu": 0.00,
  "vol_a3_per_cell": 306,
  "final_energy_ev_per_atom": -4.017,
  "n_ef_per_ev_fu": 7.1,
  "sg": "P2_1/m, No. 11",
  "ef_ev_per_atom": 0.016
}

No. 3
{
  "formula": "PrEr2Sb2",
  "functional": "PBE",
  "state": "relaxed",
  "lattice_angstrom": [[7.856, 0.706, 0.925], [-2.001, 7.629, 0.925], [-2.443, -3.478, 4.456]],
  "species": ["Pr", "Pr", "Sb", "Sb", "Sb", "Sb", "Er", "Er", "Er", "Er"],
  "frac_coords": [[0.103, 0.397, 0.250], [0.897, 0.603, 0.750], [0.819, 0.681, 0.250], [0.181, 0.319, 0.750], [0.377, 0.123, 0.250], [0.623, 0.877, 0.750], [0.417, 0.726, 0.011], [0.226, 0.917, 0.511], [0.583, 0.274, 0.989], [0.774, 0.083, 0.489]],
  "magnetic_moment_mub_per_fu": 0.00,
  "vol_a3_per_cell": 321,
  "final_energy_ev_per_atom": -5.081,
  "e_form_raw_ev_per_atom": -0.651,
  "n_ef_per_ev_fu": 4.6,
  "sg": "C2/c, No. 15"
}